No. 1
A relaxed structure of As2RuAu, computed with GGA-PBE.

Properties
Offset from the most stable computed form, eV/atom: 0.1563

Lattice parameters (Å, degrees): 3.0485 3.0485 28.3462 90.00 90.00 120.00
With the nearest neighbours (Å) after each atom.
Space group R3m (No. 160, hexagonal axes)
Unique sites:
As1 0.0000 0.0000 0.0000  3 Au 2.76, 6 As 3.05
As2 0.0000 0.0000 0.2154  3 Ru 2.43
Ru1 0.0000 0.0000 0.4898  3 As 2.43
Au1 0.0000 0.0000 0.7419  3 As 2.76, 3 Ru 2.90, 6 Au 3.05

No. 2
A relaxed structure of AsRuAu2, computed with GGA-PBE.

Lattice parameters (Å, degrees): 2.9365 2.9365 27.7927 90.00 90.00 120.00
With the nearest neighbours (Å) after each atom.
Space group R-3m (No. 166, hexagonal axes)
Unique sites:
As1 0.0000 0.0000 0.0000  6 Au 2.91, 6 As 2.94
Ru1 0.0000 0.0000 0.5000  6 Au 2.83, 6 Ru 2.94
Au1 0.0000 0.0000 0.2483  3 Ru 2.83, 3 As 2.91, 6 Au 2.94

Computed formation energy, in the same sequence as the records: 0.20, 0.42 eV per atom.